Entry 1:
# Ba2CeCl8

Crystalline Ba2CeCl8 at its relaxed geometry (GGA-PBE, Alexandria via LeMat-Bulk).

## Properties
Total magnetization in μB/atom: 0.00
Total DFT energy (no corrections) in hartree per atom: -0.16335
E_form (uncorrected) in meV/atom: -2212.8

Cell: 10.568 10.568 6.589 Å, 103.09 103.09 26.71°
Positions (direct):
Ba: 0.169 0.169 0.166
Ba: 0.831 0.831 0.834
Ce: 0.500 0.500 0.500
Cl: 0.020 0.020 0.287
Cl: 0.233 0.233 0.768
Cl: 0.375 0.375 0.569
Cl: 0.415 0.415 0.114
Cl: 0.585 0.585 0.886
Cl: 0.625 0.625 0.431
Cl: 0.767 0.767 0.232
Cl: 0.980 0.980 0.713

***

Entry 2:
# LaMnRh3

Crystalline LaMnRh3 at its relaxed geometry (GGA-PBE, Alexandria via LeMat-Bulk).

## Properties
Total magnetization in μB/atom: 0.00
Total DFT energy (no corrections) in hartree per atom: -0.26442
ΔE_f in eV/atom: 0.04

Cell: 4.563 4.563 4.563 Å, 90.00 90.00 90.00°
Positions (direct):
La: 0.000 0.000 0.000
Mn: 0.500 0.500 0.500
Rh: 0.000 0.500 0.500
Rh: 0.500 0.000 0.500
Rh: 0.500 0.500 0.000

***

Which of these has the highest total DFT energy (no corrections)?
Ba2CeCl8